# Ta3AsBr

An optimized crystal structure of Ta3AsBr (PBE, Alexandria via LeMat-Bulk).

* raw total energy: -35.4 eV per cell
* formation energy without anion corrections: 1.29 eV/atom

Cell: 4.821 4.821 4.821 Å, 90.00 90.00 90.00°
Space group Pm-3m (No. 221)
Unique sites:
Ta 0.000 0.000 0.500 [3 per cell]
As 0.000 0.000 0.000 [1 per cell]
Br 0.500 0.500 0.500 [1 per cell]



# Tb2PrY

An optimized crystal structure of Tb2PrY (PBE, Alexandria via LeMat-Bulk).

* raw total energy: -20.0 eV per cell
* energy relative to the elements: 0.48 eV per formula unit

Cell: 4.242 4.242 7.420 Å, 90.00 90.00 90.00°
Space group P4/mmm (No. 123)
Unique sites:
Tb 0.000 0.000 0.245 [2 per cell]
Pr 0.500 0.500 0.500 [1 per cell]
Y 0.500 0.500 0.000 [1 per cell]



Number 1: size of the total moment 0.000 μB/f.u., V 22.412 Å³/atom. Number 2: size of the total moment 0.001 μB/f.u., V 33.382 Å³/atom.